[1]
! V2ZnS4 (SCAN, single point on PBEsol structure); values from VASP
&SYSTEM
  ibrav = 0, nat = 14, ntyp = 3
/
ATOMIC_SPECIES
S 32.06 S.upf
V 50.94 V.upf
Zn 65.41 Zn.upf
CELL_PARAMETERS angstrom
6.925 0.000 0.000
3.463 5.997 0.000
3.463 1.999 5.654
ATOMIC_POSITIONS crystal
S 0.363 0.363 0.911
S 0.363 0.879 0.879
S 0.879 0.879 0.363
S 0.363 0.363 0.363
S 0.911 0.363 0.363
S 0.879 0.879 0.879
S 0.879 0.363 0.879
S 0.363 0.911 0.363
V 0.111 0.111 0.668
V 0.111 0.111 0.111
V 0.668 0.111 0.111
V 0.111 0.668 0.111
Zn 0.750 0.750 0.750
Zn 0.500 0.500 0.500
! Total magnetic moment, μB/f.u.: 1.96
! Uncorrected formation energy, eV/atom: -1.00
! VASP energy, eV/atom: -13.431

---

[2]
! V4ZnS8 (SCAN, single point on PBEsol structure); values from VASP
&SYSTEM
  ibrav = 0, nat = 13, ntyp = 3
/
ATOMIC_SPECIES
S 32.06 S.upf
Zn 65.41 Zn.upf
V 50.94 V.upf
CELL_PARAMETERS angstrom
6.268 0.000 0.000
3.134 5.428 0.000
3.134 1.809 6.375
ATOMIC_POSITIONS crystal
S 0.755 0.755 0.232
S 0.742 0.245 0.768
S 0.245 0.742 0.768
S 0.245 0.245 0.768
S 0.256 0.256 0.231
S 0.744 0.744 0.769
S 0.755 0.258 0.232
S 0.258 0.755 0.232
Zn 0.500 0.500 0.500
V 0.000 0.500 0.000
V 0.500 0.000 0.000
V 0.000 0.000 0.000
V 0.500 0.500 0.000
! Total magnetic moment, μB/f.u.: 1.86
! Uncorrected formation energy, eV/atom: -0.94
! VASP energy, eV/atom: -13.281

---

[3]
! WS2 (SCAN, single point on PBEsol structure); values from VASP
&SYSTEM
  ibrav = 0, nat = 9, ntyp = 2
/
ATOMIC_SPECIES
S 32.06 S.upf
W 183.84 W.upf
CELL_PARAMETERS angstrom
3.144 0.000 0.000
-1.572 2.723 0.000
0.000 0.000 19.540
ATOMIC_POSITIONS crystal
S 0.667 0.333 0.100
S 0.667 0.333 0.900
S 0.333 0.667 0.580
S 0.333 0.667 0.420
S 0.667 0.333 0.260
S 0.667 0.333 0.740
W 0.333 0.667 0.820
W 0.333 0.667 0.180
W 0.667 0.333 0.500
! Total magnetic moment, μB/f.u.: 0.00
! Uncorrected formation energy, eV/atom: -0.83
! VASP energy, eV/atom: -30.480

---

[4]
! WS2 (SCAN, single point on PBEsol structure); values from VASP
&SYSTEM
  ibrav = 0, nat = 6, ntyp = 2
/
ATOMIC_SPECIES
S 32.06 S.upf
W 183.84 W.upf
CELL_PARAMETERS angstrom
-0.329 -0.281 3.114
2.815 -0.443 -1.330
2.564 12.190 1.370
ATOMIC_POSITIONS crystal
S 0.333 0.667 0.375
S 0.667 0.333 0.875
S 0.667 0.333 0.625
S 0.333 0.667 0.125
W 0.667 0.333 0.250
W 0.333 0.667 0.750
! Total magnetic moment, μB/f.u.: 0.00
! Uncorrected formation energy, eV/atom: -0.83
! VASP energy, eV/atom: -30.483